[1]
! CeSm2In, relaxed, DFT PBE; values from VASP
! calculated formation energy: -0.1891 eV per atom
! space group: No. 123
! polymorph energy (0 for the lowest one): 0.14 eV/f.u.
! total magnetization: 0.10 μB per atom
! crystal system: tetragonal
&SYSTEM
  ibrav = 0, nat = 4, ntyp = 3
/
ATOMIC_SPECIES
Ce 140.12 Ce.upf
Sm 150.36 Sm.upf
In 114.82 In.upf
CELL_PARAMETERS angstrom
3.616 0.000 0.000
0.000 3.616 0.000
0.000 0.000 9.079
ATOMIC_POSITIONS angstrom
Ce 0.000 0.000 0.000
Sm 1.808 1.808 2.408
Sm 1.808 1.808 6.671
In 0.000 0.000 4.540

[2]
! CeSm2In, relaxed, DFT PBE; values from VASP
! calculated formation energy: -0.0747 eV per atom
! space group: No. 160
! polymorph energy (0 for the lowest one): 0.60 eV/f.u.
! total magnetization: 0.29 μB per atom
! crystal system: trigonal
&SYSTEM
  ibrav = 0, nat = 4, ntyp = 3
/
ATOMIC_SPECIES
Ce 140.12 Ce.upf
Sm 150.36 Sm.upf
In 114.82 In.upf
CELL_PARAMETERS angstrom
1.792 1.035 11.087
-1.792 1.035 11.087
0.000 -2.070 11.087
ATOMIC_POSITIONS angstrom
Ce 0.000 0.000 0.000
Sm 0.000 0.000 19.272
Sm 0.000 0.000 25.100
In 0.000 0.000 5.550

[3]
! Ce3Sm2In4, relaxed, DFT PBE; values from VASP
! calculated formation energy: -0.3355 eV per atom
! space group: No. 2
! total magnetization: 0.32 μB per atom
! crystal system: triclinic
&SYSTEM
  ibrav = 0, nat = 9, ntyp = 3
/
ATOMIC_SPECIES
Ce 140.12 Ce.upf
Sm 150.36 Sm.upf
In 114.82 In.upf
CELL_PARAMETERS angstrom
5.116 0.000 0.000
-2.525 4.964 0.000
-0.105 -0.956 9.965
ATOMIC_POSITIONS angstrom
Ce 0.000 0.000 0.000
Ce 0.113 2.583 4.399
Ce 2.373 1.425 5.566
Sm -0.107 2.734 7.803
Sm 2.593 1.274 2.162
In -0.156 -0.405 6.549
In 0.033 3.102 1.091
In 2.453 0.906 8.874
In 2.643 4.413 3.416

[4]
! CeSm2In6, relaxed, DFT PBE; values from VASP
! calculated formation energy: -0.2889 eV per atom
! space group: No. 71
! polymorph energy (0 for the lowest one): 1.19 eV/f.u.
! total magnetization: 0.15 μB per atom
! crystal system: orthorhombic
&SYSTEM
  ibrav = 0, nat = 9, ntyp = 3
/
ATOMIC_SPECIES
Ce 140.12 Ce.upf
Sm 150.36 Sm.upf
In 114.82 In.upf
CELL_PARAMETERS angstrom
-2.336 3.862 7.354
2.336 -3.862 7.354
2.336 3.862 -7.354
ATOMIC_POSITIONS angstrom
Ce 0.000 0.000 0.000
Sm 2.336 0.000 5.569
Sm 0.000 3.862 1.785
In 2.336 1.505 -2.781
In 2.336 2.377 0.000
In 2.336 1.505 2.781
In 0.000 2.357 4.573
In 0.000 1.485 7.354
In 0.000 2.357 10.135

[5]
! CeSm2In4, relaxed, DFT PBE; values from VASP
! calculated formation energy: -0.2670 eV per atom
! space group: No. 139
! total magnetization: 0.11 μB per atom
! crystal system: tetragonal
&SYSTEM
  ibrav = 0, nat = 7, ntyp = 3
/
ATOMIC_SPECIES
Ce 140.12 Ce.upf
Sm 150.36 Sm.upf
In 114.82 In.upf
CELL_PARAMETERS angstrom
-2.716 2.716 7.234
2.716 -2.716 7.234
2.716 2.716 -7.234
ATOMIC_POSITIONS angstrom
Ce 0.000 0.000 0.000
Sm 0.000 0.000 3.702
Sm 0.000 0.000 10.766
In 2.716 0.000 1.682
In 2.716 0.000 5.552
In 0.000 2.716 1.682
In 0.000 2.716 5.552

[6]
! TbCeSmIn, relaxed, DFT PBE; values from VASP
! calculated formation energy: -0.0842 eV per atom
! space group: No. 216
! total magnetization: 0.00 μB per atom
! crystal system: cubic
&SYSTEM
  ibrav = 0, nat = 4, ntyp = 4
/
ATOMIC_SPECIES
Tb 158.93 Tb.upf
Ce 140.12 Ce.upf
Sm 150.36 Sm.upf
In 114.82 In.upf
CELL_PARAMETERS angstrom
0.000 3.848 3.848
3.848 0.000 3.848
3.848 3.848 0.000
ATOMIC_POSITIONS angstrom
Tb 0.000 0.000 0.000
Ce 5.772 5.772 5.772
Sm 3.848 3.848 3.848
In 1.924 1.924 1.924

[7]
! CeSm2In3Te6, relaxed, DFT PBE; values from VASP
! space group: No. 12
! formation energy from raw total energies: -11.55 eV per formula unit
! total magnetization: 0.09 μB per atom
! crystal system: monoclinic
&SYSTEM
  ibrav = 0, nat = 12, ntyp = 4
/
ATOMIC_SPECIES
Ce 140.12 Ce.upf
Sm 150.36 Sm.upf
In 114.82 In.upf
Te 127.60 Te.upf
CELL_PARAMETERS angstrom
3.901 -6.757 0.000
3.901 6.757 0.000
-2.601 0.000 8.124
ATOMIC_POSITIONS angstrom
Ce 0.000 0.000 0.000
Sm 3.901 2.252 0.000
Sm 3.901 -2.252 0.000
In 2.601 4.504 4.062
In 2.601 0.000 4.062
In 2.601 -4.504 4.062
Te 1.313 2.274 1.824
Te 0.025 0.000 6.305
Te 1.313 -2.274 1.824
Te 3.889 2.274 6.300
Te 5.176 0.000 1.819
Te 3.889 -2.274 6.300

[8]
! CeSmThIn, relaxed, DFT PBE; values from VASP
! calculated formation energy: -0.0305 eV per atom
! space group: No. 216
! total magnetization: 0.12 μB per atom
! crystal system: cubic
&SYSTEM
  ibrav = 0, nat = 4, ntyp = 4
/
ATOMIC_SPECIES
Ce 140.12 Ce.upf
Sm 150.36 Sm.upf
Th 232.04 Th.upf
In 114.82 In.upf
CELL_PARAMETERS angstrom
0.000 3.887 3.887
3.887 0.000 3.887
3.887 3.887 0.000
ATOMIC_POSITIONS angstrom
Ce 0.000 0.000 0.000
Sm 3.887 3.887 3.887
Th 5.831 5.831 5.831
In 1.944 1.944 1.944